MnHg5Br12, relaxed, DFT PBE; symmetry = C2/m, No. 12; E_form (uncorrected) = -8.42 eV/f.u.; DFT total energy = -2.176 eV per atom
1.0
3.5747 -6.0959 0.0000
3.5747 6.0959 0.0000
-0.0076 0.0000 13.7638
Mn Hg Br
1 5 12
direct
0.0000 0.0000 0.0000 Mn
0.1668 0.8332 0.5000 Hg
0.3328 0.6672 0.0000 Hg
0.5000 0.5000 0.5000 Hg
0.6672 0.3328 0.0000 Hg
0.8332 0.1668 0.5000 Hg
0.0055 0.6897 0.1123 Br
0.1606 0.1606 0.6171 Br
0.1725 0.5064 0.3828 Br
0.3103 0.9945 0.8877 Br
0.3216 0.3216 0.1113 Br
0.4936 0.8275 0.6172 Br
0.5064 0.1725 0.3828 Br
0.6784 0.6784 0.8887 Br
0.6897 0.0055 0.1123 Br
0.8275 0.4936 0.6172 Br
0.8394 0.8394 0.3829 Br
0.9945 0.3103 0.8877 Br

=====

Mn2HgBr, relaxed, DFT PBE; symmetry = Pmmm, No. 47; E_form (uncorrected) = 1.82 eV/f.u.; DFT total energy = -4.624 eV per atom; energy above the lowest structure with this stoichiometry = 0.249 eV/atom
1.0
3.2798 0.0000 0.0000
0.0000 4.4653 0.0000
0.0000 0.0000 5.7863
Mn Hg Br
2 1 1
direct
0.0000 0.0000 0.0000 Mn
0.5000 0.0000 0.5000 Mn
0.0000 0.5000 0.5000 Hg
0.5000 0.5000 0.0000 Br

=====

MnHg2Br, relaxed, DFT PBE; symmetry = I-4m2, No. 119; E_form (uncorrected) = 1.14 eV/f.u.; DFT total energy = -2.577 eV per atom; energy above the lowest structure with this stoichiometry = 0.309 eV/atom
1.0
4.5975 0.0000 0.0000
0.0000 4.5975 0.0000
0.0000 0.0000 9.1990
Mn Hg Br
2 4 2
direct
0.0000 0.0000 0.0000 Mn
0.5000 0.5000 0.5000 Mn
0.0000 0.0000 0.5000 Hg
0.0000 0.5000 0.2500 Hg
0.5000 0.0000 0.7500 Hg
0.5000 0.5000 0.0000 Hg
0.0000 0.5000 0.7500 Br
0.5000 0.0000 0.2500 Br

=====

MnHg2Br, relaxed, DFT PBE; symmetry = P4/mmm, No. 123; E_form (uncorrected) = 0.72 eV/f.u.; DFT total energy = -2.681 eV per atom; energy above the lowest structure with this stoichiometry = 0.205 eV/atom
1.0
3.4876 0.0000 0.0000
0.0000 3.4876 0.0000
0.0000 0.0000 7.7475
Mn Hg Br
1 2 1
direct
0.0000 0.0000 0.0000 Mn
0.5000 0.5000 0.2210 Hg
0.5000 0.5000 0.7790 Hg
0.0000 0.0000 0.5000 Br

=====

MnHg2Br, relaxed, DFT PBE; symmetry = Cmm2, No. 35; E_form (uncorrected) = 0.10 eV/f.u.; DFT total energy = -2.837 eV per atom; energy above the lowest structure with this stoichiometry = 0.049 eV/atom
1.0
4.0191 0.0000 0.0000
0.0000 5.7355 0.0000
0.0000 0.0000 9.2787
Mn Hg Br
2 4 2
direct
0.0000 0.0000 0.0000 Mn
0.5000 0.5000 0.0000 Mn
0.0000 0.0000 0.4728 Hg
0.0000 0.5000 0.2086 Hg
0.5000 0.0000 0.2086 Hg
0.5000 0.5000 0.4728 Hg
0.0000 0.5000 0.8238 Br
0.5000 0.0000 0.8238 Br

=====

Mn4HgBr, relaxed, DFT PBE; symmetry = F-43m, No. 216; E_form (uncorrected) = 4.07 eV/f.u.; DFT total energy = -5.764 eV per atom
1.0
0.0000 3.8949 3.8949
3.8949 0.0000 3.8949
3.8949 3.8949 0.0000
Mn Hg Br
4 1 1
direct
0.3763 0.3763 0.3763 Mn
0.3763 0.3763 0.8710 Mn
0.3763 0.8710 0.3763 Mn
0.8710 0.3763 0.3763 Mn
0.7500 0.7500 0.7500 Hg
0.0000 0.0000 0.0000 Br

=====

Mn4HgBr8, relaxed, DFT PBE; symmetry = R-3m, No. 166; E_form (uncorrected) = -9.24 eV/f.u.; DFT total energy = -4.585 eV per atom
1.0
3.8862 2.2437 9.5283
-3.8862 2.2437 9.5283
0.0000 -4.4874 9.5283
Mn Hg Br
4 1 8
direct
0.0000 0.0000 0.0000 Mn
0.0000 0.5000 0.5000 Mn
0.5000 0.0000 0.5000 Mn
0.5000 0.5000 0.0000 Mn
0.5000 0.5000 0.5000 Hg
0.2192 0.2192 0.7203 Br
0.2192 0.7203 0.2192 Br
0.2804 0.2804 0.2804 Br
0.2797 0.7808 0.7808 Br
0.7203 0.2192 0.2192 Br
0.7196 0.7196 0.7196 Br
0.7808 0.2797 0.7808 Br
0.7808 0.7808 0.2797 Br

=====

Mn2HgBr, relaxed, DFT PBE; symmetry = Cm, No. 8; E_form (uncorrected) = 0.85 eV/f.u.; DFT total energy = -4.867 eV per atom; energy above the lowest structure with this stoichiometry = 0.007 eV/atom
1.0
13.1121 0.0000 0.0000
0.0000 3.2109 0.0000
0.0000 0.0000 4.6363
Mn Hg Br
4 2 2
direct
0.0000 0.0000 0.0000 Mn
0.1666 0.5000 0.0003 Mn
0.5000 0.5000 0.0000 Mn
0.6666 0.0000 0.0003 Mn
0.1168 0.0000 0.5001 Hg
0.6168 0.5000 0.5001 Hg
0.3440 0.0000 0.9985 Br
0.8440 0.5000 0.9985 Br